(1)
The following is a PBE calculation of In2NiW2 after structural relaxation, from Alexandria via LeMat-Bulk.

The formation energy is 3.93 eV per formula unit. The density of states at the Fermi level is 3.572 states/eV/f.u. For the energy above the most stable polymorph in this dataset, the calculation gives 0 meV per atom.

```
In2NiW2
1.0
3.6231 0.0000 0.0000
0.0000 3.6231 0.0000
0.0000 0.0000 14.9955
In Ni W
4 2 4
Direct
0.0000 0.0000 0.0943
0.0000 0.0000 0.9057
0.5000 0.5000 0.4057
0.5000 0.5000 0.5943
0.0000 0.0000 0.5000
0.5000 0.5000 0.0000
0.0000 0.5000 0.2500
0.0000 0.5000 0.7500
0.5000 0.0000 0.2500
0.5000 0.0000 0.7500
```

(2)
The following is a PBE calculation of InNiW2 after structural relaxation, from Alexandria via LeMat-Bulk.

The formation energy is 1.23 eV per formula unit. The density of states at the Fermi level is 2.173 states/eV/f.u.

```
InNiW2
1.0
3.4357 0.0000 0.0000
0.0000 4.1354 0.0000
0.0000 0.0000 8.9365
In Ni W
2 2 4
Direct
0.0000 0.0000 0.0000
0.5000 0.5000 0.5000
0.0000 0.0000 0.5000
0.5000 0.5000 0.0000
0.0000 0.5000 0.2416
0.0000 0.5000 0.7584
0.5000 0.0000 0.2584
0.5000 0.0000 0.7416
```